Ce3Si4Ru2 PBE-GGA relaxed; excess energy over the best structure of this formula in the dataset = 42.7 meV/atom; space group = C2/m, No. 12; calculated volume = 178.4 Å³ per cell; raw formation energy = -6.48 eV per formula unit; total magnetization = 0.000 μB/atom
1.0
-2.083 3.197 -1.578
2.065 -3.449 -4.314
-6.977 -3.512 2.096
Ce Si Ru
3 4 2
direct
0.673 0.346 0.652 Ce
0.000 0.000 0.000 Ce
0.327 0.654 0.348 Ce
0.728 0.456 0.066 Si
0.272 0.544 0.934 Si
0.957 0.914 0.619 Si
0.043 0.086 0.381 Si
0.603 0.205 0.270 Ru
0.397 0.795 0.730 Ru



Ba2HgRuC PBE-GGA relaxed; ΔE_f = 0.874 eV per atom; excess energy over the best structure of this formula in the dataset = 834.4 meV/atom; space group = P4/mmm, No. 123; calculated volume = 143.7 Å³ per cell; total magnetization = 0.385 μB/atom
1.0
5.907 0.000 0.000
0.000 5.907 0.000
0.000 0.000 4.120
Ru C Hg Ba
1 1 1 2
direct
0.500 0.500 0.500 Ru
0.000 0.000 0.000 C
0.000 0.000 0.500 Hg
0.000 0.500 0.000 Ba
0.500 0.000 0.000 Ba



CsBi2P2 PBE-GGA relaxed; ΔE_f = 0.041 eV per atom; excess energy over the best structure of this formula in the dataset = 117.8 meV/atom; space group = I4/mmm, No. 139; calculated volume = 153.7 Å³ per cell; total magnetization = 0.000 μB/atom
1.0
-2.805 2.811 2.716
-2.276 -3.892 1.678
1.847 -0.964 7.165
Cs P Bi
1 2 2
direct
0.000 0.000 0.000 Cs
0.422 0.422 0.157 P
0.578 0.578 0.843 P
0.750 0.250 0.500 Bi
0.250 0.750 0.500 Bi



GaTeN2F PBE-GGA relaxed; excess energy over the best structure of this formula in the dataset = 1367.7 meV/atom; space group = P4/mmm, No. 123; calculated volume = 95.8 Å³ per cell; raw formation energy = 8.50 eV per formula unit; total magnetization = 0.955 μB/atom
1.0
-4.376 1.498 1.098
-1.114 0.131 -4.620
-1.325 -4.019 0.205
N Te Ga F
2 1 1 1
direct
0.000 0.500 0.000 N
0.500 0.000 0.000 N
0.000 0.000 0.500 Te
0.500 0.500 0.500 Ga
0.000 0.000 0.000 F